Record 1
A geometry-optimized HfTc2BRh structure, computed with PBE-GGA.

a = 4.1707 Å, b = 4.1707 Å, c = 4.1331 Å
α = 90.00°, β = 90.00°, γ = 90.00°
Space group P4/mmm (No. 123)
Unique sites:
1 Hf 0.0000 0.0000 0.0000 [1 per cell]
2 Tc 0.0000 0.5000 0.5000 [2 per cell]
3 B 0.5000 0.5000 0.5000 [1 per cell]
4 Rh 0.5000 0.5000 0.0000 [1 per cell]

Output
E in eV/cell: -46.68
Total moment in μB/f.u.: 0.0
Calculated formation energy in meV per atom: -393.4

---

Record 2
A geometry-optimized K2MgW structure, computed with PBE-GGA.

a = 2.9322 Å, b = 2.9322 Å, c = 12.6068 Å
α = 90.00°, β = 90.00°, γ = 90.00°
Space group P4/mmm (No. 123)
Unique sites:
1 K 0.0000 0.0000 0.2297 [2 per cell]
2 Mg 0.5000 0.5000 0.5000 [1 per cell]
3 W 0.5000 0.5000 0.0000 [1 per cell]

Output
E in eV/cell: -11.93
Total moment in μB/f.u.: 0.0
Calculated formation energy in meV per atom: 1202.6

---

Record 3
A geometry-optimized CePm3Pr12 structure, computed with PBE-GGA.

a = 5.2258 Å, b = 5.2258 Å, c = 20.8573 Å
α = 90.00°, β = 90.00°, γ = 90.00°
Space group P4/mmm (No. 123)
Unique sites:
1 Ce 0.0000 0.0000 0.0000 [1 per cell]
2 Pm 0.0000 0.0000 0.2489 [2 per cell]
3 Pm 0.0000 0.0000 0.5000 [1 per cell]
4 Pr 0.0000 0.5000 0.1225 [4 per cell]
5 Pr 0.0000 0.5000 0.3743 [4 per cell]
6 Pr 0.5000 0.5000 0.0000 [1 per cell]
7 Pr 0.5000 0.5000 0.2499 [2 per cell]
8 Pr 0.5000 0.5000 0.5000 [1 per cell]

Output
E in eV/cell: -77.09
Total moment in μB/f.u.: 1.1
Calculated formation energy in meV per atom: 28.4

---

Record 4
A geometry-optimized LaRh2W structure, computed with PBE-GGA.

a = 3.3212 Å, b = 3.3212 Å, c = 6.9902 Å
α = 90.00°, β = 90.00°, γ = 90.00°
Space group P4mm (No. 99)
Unique sites:
1 La 0.0000 0.0000 0.0000 [1 per cell]
2 Rh 0.0000 0.0000 0.5006 [1 per cell]
3 Rh 0.5000 0.5000 0.2705 [1 per cell]
4 W 0.5000 0.5000 0.6541 [1 per cell]

Output
E in eV/cell: -32.19
Total moment in μB/f.u.: 0.0
Calculated formation energy in meV per atom: 98.6

---

Record 5
A geometry-optimized CaSn2Sb2 structure, computed with PBE-GGA.

a = 4.4859 Å, b = 4.4859 Å, c = 15.4365 Å
α = 90.00°, β = 90.00°, γ = 90.00°
Space group I4/mmm (No. 139)
Unique sites:
1 Ca 0.0000 0.0000 0.0000 [2 per cell]
2 Sn 0.0000 0.0000 0.4056 [4 per cell]
3 Sb 0.0000 0.5000 0.2500 [4 per cell]

Output
E in eV/cell: -37.00
Total moment in μB/f.u.: 0.0

---

Record 6
A geometry-optimized BaMg2Cr structure, computed with PBE-GGA.

a = 6.5237 Å, b = 11.2452 Å, c = 3.3499 Å
α = 90.00°, β = 108.15°, γ = 90.00°
Space group C2/m (No. 12)
Unique sites:
1 Ba 0.0000 0.0000 0.0000 [2 per cell]
2 Mg 0.2500 0.2500 0.5000 [4 per cell]
3 Cr 0.0000 0.5000 0.0000 [2 per cell]

Output
E in eV/cell: -24.78
Total moment in μB/f.u.: 4.3
Calculated formation energy in meV per atom: 585.8

---

Record 7
A geometry-optimized Pr4MnBr5 structure, computed with PBE-GGA.

a = 18.6845 Å, b = 4.1461 Å, c = 9.3185 Å
α = 90.00°, β = 104.92°, γ = 90.00°
Space group C2/m (No. 12)
Unique sites:
1 Pr 0.0011 0.0000 0.2353 [4 per cell]
2 Pr 0.1385 0.5000 0.0728 [4 per cell]
3 Mn 0.0000 0.5000 0.0000 [2 per cell]
4 Br 0.0000 0.5000 0.5000 [2 per cell]
5 Br 0.1675 0.0000 0.3196 [4 per cell]
6 Br 0.1687 0.0000 0.8512 [4 per cell]

Output
E in eV/cell: -97.99
Total moment in μB/f.u.: 0.7

---

Record 8
A geometry-optimized YAs2Ru structure, computed with PBE-GGA.

a = 5.1135 Å, b = 5.1135 Å, c = 14.7130 Å
α = 90.00°, β = 90.00°, γ = 90.00°
Space group I-42d (No. 122)
Unique sites:
1 Y 0.0000 0.0000 0.0000 [4 per cell]
2 As 0.1624 0.2500 0.6250 [8 per cell]
3 Ru 0.0000 0.0000 0.5000 [4 per cell]

Output
E in eV/cell: -105.11
Total moment in μB/f.u.: 0.0
Calculated formation energy in meV per atom: -309.6